Record 1
First-principles (PBE) data for a geometry-optimized Y2AlNiH structure, as listed in the Alexandria database.

Lattice parameters (Å, degrees): 4.982 4.982 3.563 90.00 90.00 90.00
Space group P4/mmm (No. 123)
Inequivalent atoms, fractional coordinates:
Y 0.000 0.500 0.000
Al 0.000 0.000 0.500
Ni 0.500 0.500 0.500
H 0.500 0.500 0.000

Values from the calculation:
uncorrected energy: -0.2046 hartree per atom



Record 2
First-principles (PBE) data for a geometry-optimized ZrAlNi2H structure, as listed in the Alexandria database.

Lattice parameters (Å, degrees): 3.097 11.317 6.978 90.00 90.00 90.00
Space group Cmcm (No. 63)
Inequivalent atoms, fractional coordinates:
Zr 0.000 0.023 0.250
Al 0.000 0.250 0.750
Ni 0.000 0.354 0.051
H 0.000 0.500 0.000

Values from the calculation:
uncorrected energy: -0.2165 hartree per atom



Record 3
First-principles (PBE) data for a geometry-optimized ZrAlNi2H structure, as listed in the Alexandria database.

Lattice parameters (Å, degrees): 3.953 3.953 3.972 90.00 90.00 90.00
Space group P4/mmm (No. 123)
Inequivalent atoms, fractional coordinates:
Zr 0.000 0.000 0.000
Al 0.500 0.500 0.000
Ni 0.000 0.500 0.500
H 0.000 0.000 0.500

Values from the calculation:
uncorrected energy: -0.2091 hartree per atom



Record 4
First-principles (PBE) data for a geometry-optimized NpAl2H6 structure, as listed in the Alexandria database.

Lattice parameters (Å, degrees): 7.009 7.009 7.009 90.00 90.00 90.00
Space group Fm-3m (No. 225)
Inequivalent atoms, fractional coordinates:
Np 0.000 0.000 0.000
Al 0.250 0.250 0.250
H 0.000 0.000 0.286

Values from the calculation:
uncorrected energy: -0.1449 hartree per atom



Record 5
First-principles (PBE) data for a geometry-optimized NpAlH4 structure, as listed in the Alexandria database.

Lattice parameters (Å, degrees): 4.774 4.790 4.740 90.00 92.28 90.00
Space group C2/m (No. 12)
Inequivalent atoms, fractional coordinates:
Np 0.000 0.000 0.000
Al 0.000 0.500 0.500
H 0.240 0.248 0.711

Values from the calculation:
uncorrected energy: -0.1853 hartree per atom



Record 6
First-principles (PBE) data for a geometry-optimized NpAlH structure, as listed in the Alexandria database.

Lattice parameters (Å, degrees): 3.146 3.146 9.174 90.00 90.00 90.00
Space group P4/nmm (No. 129, origin choice 2)
Inequivalent atoms, fractional coordinates:
Np 0.250 0.250 0.171
Al 0.250 0.250 0.588
H 0.250 0.250 0.919

Values from the calculation:
uncorrected energy: -0.2466 hartree per atom



Record 7
First-principles (PBE) data for a geometry-optimized NpAlH6 structure, as listed in the Alexandria database.

Lattice parameters (Å, degrees): 5.902 6.303 3.904 90.00 111.09 90.00
Space group C2/m (No. 12)
Inequivalent atoms, fractional coordinates:
Np 0.000 0.000 0.000
Al 0.000 0.500 0.000
H 0.121 0.315 0.795
H 0.212 0.000 0.629

Values from the calculation:
uncorrected energy: -0.1720 hartree per atom



Record 8
First-principles (PBE) data for a geometry-optimized NpAl3H structure, as listed in the Alexandria database.

Lattice parameters (Å, degrees): 4.306 4.306 4.306 90.00 90.00 90.00
Space group Pm-3m (No. 221)
Inequivalent atoms, fractional coordinates:
Np 0.000 0.000 0.000
Al 0.000 0.500 0.500
H 0.500 0.500 0.500

Values from the calculation:
uncorrected energy: -0.1974 hartree per atom



Record 9
First-principles (PBE) data for a geometry-optimized NpAl3H12 structure, as listed in the Alexandria database.

Lattice parameters (Å, degrees): 7.8828 7.8828 21.6093 90.00 90.00 120.00
Space group R3c (No. 161, hexagonal axes)
Inequivalent atoms, fractional coordinates:
Np 0.0000 0.0000 0.0000
Al 0.0470 0.3544 0.2850
H 0.0827 0.2404 0.8033
H 0.0841 0.1920 0.5785
H 0.0875 0.5170 0.5940
H 0.1237 0.3469 0.6819

Values from the calculation:
uncorrected energy: -0.1463 hartree per atom



Record 10
First-principles (PBE) data for a geometry-optimized Np2AlH8 structure, as listed in the Alexandria database.

Lattice parameters (Å, degrees): 4.676 10.208 3.947 90.00 90.00 90.00
Space group Imm2 (No. 44)
Inequivalent atoms, fractional coordinates:
Np 0.000 0.184 0.000
Al 0.000 0.500 0.818
H 0.000 0.306 0.502
H 0.244 0.000 0.992
H 0.248 0.376 0.992

Values from the calculation:
uncorrected energy: -0.1937 hartree per atom



Record 11
First-principles (PBE) data for a geometry-optimized AlHO2 structure, as listed in the Alexandria database.

Lattice parameters (Å, degrees): 3.951 3.951 8.425 90.00 90.00 90.00
Space group I-42d (No. 122)
Inequivalent atoms, fractional coordinates:
Al 0.000 0.000 0.000
H 0.000 0.000 0.500
O 0.237 0.250 0.625

Values from the calculation:
uncorrected energy: -0.2180 hartree per atom



Record 12
First-principles (PBE) data for a geometry-optimized AlHO2 structure, as listed in the Alexandria database.

Lattice parameters (Å, degrees): 2.8446 2.8446 13.0342 90.00 90.00 120.00
Space group R-3m (No. 166, hexagonal axes)
Inequivalent atoms, fractional coordinates:
Al 0.0000 0.0000 0.0000
H 0.0000 0.0000 0.5000
O 0.0000 0.0000 0.4077

Values from the calculation:
uncorrected energy: -0.2403 hartree per atom